# 1
First-principles (PBE) data for CeGa3Pt after structural relaxation, as listed in Alexandria via LeMat-Bulk.

Properties
E above lowest polymorph = 3.9 kJ/mol of atoms
SG = Pnma (62)
DFT formation energy = -0.7285 eV/atom
magnetization = 0.08 μB per atom
density of states at the Fermi level = 19.0 states/eV/cell
ρ = 9.24 g/cm³

Geometry as extended XYZ:
```
20
Lattice="8.377 0.000 0.000 0.000 4.328 0.000 0.000 0.000 10.789" Properties=species:S:1:pos:R:3 pbc="T T T"
Ce 1.669 1.082 0.200
Ce 2.520 3.246 5.594
Ce 5.857 1.082 5.195
Ce 6.709 3.246 10.589
Ga 0.555 1.082 6.382
Ga 0.919 3.246 8.853
Ga 1.153 3.246 2.286
Ga 3.036 1.082 7.680
Ga 3.269 1.082 3.458
Ga 3.634 3.246 0.987
Ga 4.744 1.082 9.802
Ga 5.108 3.246 7.331
Ga 5.341 3.246 3.109
Ga 7.225 1.082 8.504
Ga 7.458 1.082 1.936
Ga 7.822 3.246 4.407
Pt 0.775 1.082 3.772
Pt 3.414 3.246 9.167
Pt 4.964 1.082 1.622
Pt 7.602 3.246 7.017
```



# 2
First-principles (PBE) data for K2Sn3GeAu4 after structural relaxation, as listed in Alexandria via LeMat-Bulk.

Properties
SG = P-4m2 (115)
DFT formation energy = -0.2601 eV/atom
magnetization = 0.00 μB per atom
density of states at the Fermi level = 7.0 states/eV/cell
ρ = 8.22 g/cm³

Geometry as extended XYZ:
```
10
Lattice="4.886 0.000 0.000 0.000 4.886 0.000 0.000 0.000 10.964" Properties=species:S:1:pos:R:3 pbc="T T T"
K 0.000 2.443 2.730
K 2.443 0.000 8.234
Sn 0.000 2.443 9.600
Sn 2.443 0.000 1.364
Sn 2.443 2.443 5.482
Ge 0.000 0.000 5.482
Au 0.000 0.000 0.000
Au 0.000 2.443 6.793
Au 2.443 0.000 4.170
Au 2.443 2.443 0.000
```



# 3
First-principles (PBE) data for Tb4PdBr5 after structural relaxation, as listed in Alexandria via LeMat-Bulk.

Properties
SG = C2/m (12)
formation energy (no corrections) = -1348 kJ/mol of formula units
magnetization = 0.00 μB per atom
density of states at the Fermi level = 5.2 states/eV/cell
ρ = 6.00 g/cm³

Geometry as extended XYZ:
```
10
Lattice="9.384 -2.008 0.000 9.384 2.008 0.000 -1.843 0.000 8.388" Properties=species:S:1:pos:R:3 pbc="T T T"
Tb -0.355 0.000 1.844
Tb 4.860 0.000 7.732
Tb 12.065 0.000 0.656
Tb 17.280 0.000 6.544
Pd 9.384 0.000 0.000
Br 2.551 0.000 2.783
Br 1.802 0.000 7.063
Br 8.463 0.000 4.194
Br 15.123 0.000 1.326
Br 14.374 0.000 5.605
```



# 4
First-principles (PBE) data for ScTiNbSe2 after structural relaxation, as listed in Alexandria via LeMat-Bulk.

Properties
SG = P4/mmm (123)
formation energy (no corrections) = 220 kJ/mol of formula units
magnetization = 0.05 μB per atom
density of states at the Fermi level = 7.8 states/eV/cell
ρ = 4.52 g/cm³

Geometry as extended XYZ:
```
5
Lattice="4.973 0.000 0.000 0.000 4.973 0.000 0.000 0.000 5.109" Properties=species:S:1:pos:R:3 pbc="T T T"
Sc 0.000 0.000 0.000
Ti 2.486 2.486 0.000
Nb 0.000 0.000 2.555
Se 0.000 2.486 2.555
Se 2.486 0.000 2.555
```



# 5
First-principles (PBE) data for SrLa2In after structural relaxation, as listed in Alexandria via LeMat-Bulk.

Properties
SG = P4mm (99)
DFT formation energy = -0.1877 eV/atom
magnetization = 0.00 μB per atom
density of states at the Fermi level = 4.8 states/eV/cell
ρ = 5.43 g/cm³

Geometry as extended XYZ:
```
4
Lattice="3.899 0.000 0.000 0.000 3.899 0.000 0.000 0.000 9.658" Properties=species:S:1:pos:R:3 pbc="T T T"
Sr 0.000 0.000 0.000
La 0.000 0.000 4.165
La 1.950 1.950 6.603
In 1.950 1.950 2.182
```



# 6
First-principles (PBE) data for Ca2YAg after structural relaxation, as listed in Alexandria via LeMat-Bulk.

Properties
E above lowest polymorph = 5.7 kJ/mol of atoms
SG = Imm2 (44)
DFT formation energy = -0.0595 eV/atom
magnetization = 0.00 μB per atom
density of states at the Fermi level = 4.9 states/eV/cell
ρ = 3.63 g/cm³

Geometry as extended XYZ:
```
4
Lattice="-1.878 2.872 5.871 1.878 -2.872 5.871 1.878 2.872 -5.871" Properties=species:S:1:pos:R:3 pbc="T T T"
Ca 0.000 0.000 0.000
Ca 0.000 2.872 2.414
Y 0.000 0.000 4.826
Ag 1.878 0.000 2.480
```



# 7
First-principles (PBE) data for CeTmNiPd after structural relaxation, as listed in Alexandria via LeMat-Bulk.

Properties
SG = F-43m (216)
DFT formation energy = -0.5245 eV/atom
magnetization = 0.12 μB per atom
density of states at the Fermi level = 6.2 states/eV/cell
ρ = 9.46 g/cm³

Geometry as extended XYZ:
```
4
Lattice="0.000 3.465 3.465 3.465 0.000 3.465 3.465 3.465 0.000" Properties=species:S:1:pos:R:3 pbc="T T T"
Ce 0.000 0.000 0.000
Tm 3.465 3.465 3.465
Ni 1.732 1.732 1.732
Pd 5.197 5.197 5.197
```



# 8
First-principles (PBE) data for CaTm2AgHg4 after structural relaxation, as listed in Alexandria via LeMat-Bulk.

Properties
SG = R-3m (166)
DFT formation energy = -0.3785 eV/atom
magnetization = 0.00 μB per atom
density of states at the Fermi level = 5.9 states/eV/cell
ρ = 11.23 g/cm³

Geometry as extended XYZ:
```
8
Lattice="2.551 1.473 8.449 -2.551 1.473 8.449 0.000 -2.946 8.449" Properties=species:S:1:pos:R:3 pbc="T T T"
Ca 0.000 0.000 0.000
Tm 0.000 0.000 6.192
Tm 0.000 0.000 19.156
Ag 0.000 0.000 12.674
Hg 0.000 0.000 3.153
Hg 0.000 0.000 9.506
Hg 0.000 0.000 15.842
Hg 0.000 0.000 22.195
```